Here is crystalline HoHfIrRu at its relaxed geometry from Alexandria. Energies are from PBE.

a = 6.6465 Å, b = 6.6465 Å, c = 6.6465 Å
α = 90.00°, β = 90.00°, γ = 90.00°
Closest atoms and distances in Å follow each position.
Space group F-43m (No. 216)
Asymmetric unit:
1 Ho 0.0000 0.0000 0.0000 (multiplicity 4)  4 Ir 2.88, 4 Ru 2.88
2 Hf 0.0000 0.0000 0.5000 (multiplicity 4)  4 Ru 2.88, 4 Ir 2.88
3 Ir 0.2500 0.2500 0.2500 (multiplicity 4)  4 Hf 2.88, 4 Ho 2.88
4 Ru 0.2500 0.2500 0.7500 (multiplicity 4)  4 Hf 2.88, 4 Ho 2.88

The formation energy comes out at -0.753 eV/atom. As for the energy above the most stable polymorph in this dataset: 0.034 eV/atom. Its crystal system is cubic. The calculation puts the total energy at -8.9196 eV per atom.



Here is crystalline HoHfTcIr at its relaxed geometry from Alexandria. Energies are from PBE.

a = 6.6492 Å, b = 6.6492 Å, c = 6.6492 Å
α = 90.00°, β = 90.00°, γ = 90.00°
Closest atoms and distances in Å follow each position.
Space group F-43m (No. 216)
Asymmetric unit:
1 Ho 0.0000 0.0000 0.0000 (multiplicity 4)  4 Tc 2.88, 4 Ir 2.88
2 Hf 0.0000 0.0000 0.5000 (multiplicity 4)  4 Tc 2.88, 4 Ir 2.88
3 Tc 0.2500 0.2500 0.2500 (multiplicity 4)  4 Hf 2.88, 4 Ho 2.88
4 Ir 0.2500 0.2500 0.7500 (multiplicity 4)  4 Hf 2.88, 4 Ho 2.88

The formation energy comes out at -0.593 eV/atom. Its crystal system is cubic. The calculation puts the total energy at -9.0324 eV per atom.



Here is crystalline HoHfZnIr at its relaxed geometry from Alexandria. Energies are from PBE.

a = 6.7608 Å, b = 6.7608 Å, c = 6.7608 Å
α = 90.00°, β = 90.00°, γ = 90.00°
Closest atoms and distances in Å follow each position.
Space group F-43m (No. 216)
Asymmetric unit:
1 Ho 0.0000 0.0000 0.0000 (multiplicity 4)  4 Ir 2.93, 4 Zn 2.93
2 Hf 0.0000 0.0000 0.5000 (multiplicity 4)  4 Ir 2.93, 4 Zn 2.93
3 Zn 0.2500 0.2500 0.2500 (multiplicity 4)  4 Hf 2.93, 4 Ho 2.93
4 Ir 0.2500 0.2500 0.7500 (multiplicity 4)  4 Ho 2.93, 4 Hf 2.93

The formation energy comes out at -0.529 eV/atom. Its crystal system is cubic. The calculation puts the total energy at -6.6958 eV per atom.